Density functional theory data (GGA-PBE) for crystalline PWS2Br at its relaxed geometry.

The structure belongs to space group P4/mmm (No. 123); the cell edges are 4.6861, 4.6861 and 4.8220 Å and the angles 90.00°, 90.00° and 90.00°. Symmetry generates all atoms from P at (0.0000, 0.0000, 0.0000), W at (0.5000, 0.5000, 0.0000), S at (0.0000, 0.5000, 0.5000) and Br at (0.0000, 0.0000, 0.5000).

The crystal system is tetragonal. The energy above the lowest structure with this stoichiometry is 1731.4 meV/atom. The value obtained for the density of states at the Fermi level is 3.8 states/eV/cell. The value obtained for the formation energy (no corrections) is 9.80 eV per formula unit.